The following is a PBE-GGA calculation of a relaxed TmH4NCl4 crystal, from the Open Quantum Materials Database.

Structure (CIF):
```
data_TmH4NCl4
_symmetry_space_group_name_H-M 'I 41/a'
_symmetry_Int_Tables_number 88
_cell_length_a 7.164
_cell_length_b 7.164
_cell_length_c 14.983
_cell_angle_alpha 90.00
_cell_angle_beta 90.00
_cell_angle_gamma 90.00
loop_
_symmetry_equiv_pos_as_xyz
'x,y,z'
'-x,-y,-z'
'-y+3/4,x+1/4,z+1/4'
'y+3/4,-x+1/4,-z+1/4'
'-x+1/2,-y,z+1/2'
'x+1/2,y,-z+1/2'
'y+3/4,-x+3/4,z+3/4'
'-y+3/4,x+3/4,-z+3/4'
'x+1/2,y+1/2,z+1/2'
'-x+1/2,-y+1/2,-z+1/2'
'-y+1/4,x+3/4,z+3/4'
'y+1/4,-x+3/4,-z+3/4'
'-x,-y+1/2,z'
'x,y+1/2,-z'
'y+1/4,-x+1/4,z+1/4'
'-y+1/4,x+1/4,-z+1/4'
loop_
_atom_site_label
_atom_site_fract_x
_atom_site_fract_y
_atom_site_fract_z
Tm1 0.000 0.250 0.125
H1 0.037 0.138 0.665
N1 0.000 0.250 0.625
Cl1 0.174 0.021 0.219
```

Values from the calculation:
- ρ: 2.840 g/cm3
- Spin magnetization: 0.01 μB per cell
- DFT total energy: -4.61 eV per atom